A geometry-optimized PIr2Os structure. Source: the Alexandria database, functional GGA-PBE.

```
PIr2Os
1.0
1.409 0.813 8.110
-1.409 0.813 8.110
0.000 -1.626 8.110
P Ir Os
1 2 1
direct
0.000 0.000 0.000 P
0.259 0.259 0.259 Ir
0.497 0.497 0.497 Ir
0.740 0.740 0.740 Os
```

## Properties
Its total energy is -8.5646 eV per atom. For the density, the calculation gives 18.0 g/cm3. The density of states at the Fermi level comes out at 4.0 states/eV/cell.